No. 1
First-principles (GGA-PBE) data for crystalline La2InHg at its relaxed geometry, as listed in Alexandria via LeMat-Bulk.

Unit cell a=10.091 b=10.091 c=10.091 alpha=22.42 beta=22.42 gamma=22.42
Atoms (fractional coordinates):
Hg  0.250  0.250  0.250
La  0.501  0.501  0.501
La  0.999  0.999  0.999
In  0.750  0.750  0.750

calculated volume = 32.785 Å³ per atom
formation energy = -1.257 eV per formula unit
DOS(E_F) = 5.0 states/eV per cell
crystal system = trigonal
space-group type = No. 166



No. 2
First-principles (GGA-PBE) data for crystalline La8In2Hg at its relaxed geometry, as listed in Alexandria via LeMat-Bulk.

Unit cell a=5.533 b=7.491 c=9.865 alpha=112.31 beta=106.28 gamma=90.00
Atoms (fractional coordinates):
La  0.000  0.284  0.000
La  0.000  0.716  0.000
La  0.804  0.804  0.607
La  0.641  0.873  0.282
La  0.359  0.592  0.718
La  0.196  0.196  0.393
La  0.641  0.408  0.282
La  0.359  0.127  0.718
Hg  0.500  0.000  0.000
In  0.814  0.314  0.627
In  0.186  0.686  0.373

calculated volume = 32.769 Å³ per atom
formation energy = -2.680 eV per formula unit
DOS(E_F) = 14.5 states/eV per cell
crystal system = orthorhombic
space-group type = No. 71



No. 3
First-principles (GGA-PBE) data for crystalline La2InHg at its relaxed geometry, as listed in Alexandria via LeMat-Bulk.

Unit cell a=5.477 b=5.477 c=5.477 alpha=60.00 beta=60.00 gamma=60.00
Atoms (fractional coordinates):
Hg  0.500  0.500  0.500
La  0.250  0.250  0.250
La  0.000  0.000  0.000
In  0.750  0.750  0.750

calculated volume = 29.039 Å³ per atom
formation energy = -0.392 eV per formula unit
DOS(E_F) = 7.2 states/eV per cell
crystal system = cubic
space-group type = No. 216



No. 4
First-principles (GGA-PBE) data for crystalline La6InHg2 at its relaxed geometry, as listed in Alexandria via LeMat-Bulk.

Unit cell a=9.219 b=9.219 c=9.219 alpha=105.39 beta=111.61 gamma=111.48
Atoms (fractional coordinates):
Hg  0.649  0.000  0.649
Hg  0.351  0.000  0.351
Hg  0.500  0.633  0.133
Hg  0.500  0.367  0.867
La  0.461  0.276  0.185
La  0.090  0.276  0.815
La  0.805  0.249  0.054
La  0.910  0.724  0.185
La  0.805  0.751  0.556
La  0.275  0.952  0.677
La  0.539  0.724  0.815
La  0.195  0.249  0.444
La  0.275  0.599  0.323
La  0.195  0.751  0.946
La  0.725  0.401  0.677
La  0.725  0.048  0.323
In  0.000  0.500  0.500
In  0.000  0.000  0.000

calculated volume = 33.384 Å³ per atom
formation energy = -2.638 eV per formula unit
energy above the lowest structure with this stoichiometry = 25 meV/atom
DOS(E_F) = 26.2 states/eV per cell
crystal system = orthorhombic
space-group type = No. 71



No. 5
First-principles (GGA-PBE) data for crystalline La3In3Hg at its relaxed geometry, as listed in Alexandria via LeMat-Bulk.

Unit cell a=6.367 b=6.367 c=15.806 alpha=72.46 beta=72.46 gamma=45.43
Atoms (fractional coordinates):
In  0.885  0.885  0.074
In  0.976  0.976  0.232
In  0.024  0.024  0.768
In  0.115  0.115  0.926
In  0.132  0.132  0.457
In  0.868  0.868  0.543
La  0.543  0.543  0.615
La  0.735  0.735  0.777
La  0.265  0.265  0.223
La  0.598  0.598  0.080
La  0.402  0.402  0.920
La  0.457  0.457  0.385
Hg  0.245  0.245  0.614
Hg  0.755  0.755  0.386

calculated volume = 30.817 Å³ per atom
formation energy = -3.435 eV per formula unit
DOS(E_F) = 11.5 states/eV per cell
crystal system = monoclinic
space-group type = No. 12



No. 6
First-principles (GGA-PBE) data for crystalline La3In4Hg2 at its relaxed geometry, as listed in Alexandria via LeMat-Bulk.

Unit cell a=4.996 b=6.383 c=9.532 alpha=112.67 beta=90.00 gamma=113.04
Atoms (fractional coordinates):
Hg  0.622  0.244  0.288
Hg  0.378  0.756  0.712
In  0.036  0.071  0.369
In  0.259  0.518  0.925
In  0.741  0.482  0.075
In  0.964  0.929  0.631
La  0.671  0.343  0.657
La  0.000  0.000  0.000
La  0.329  0.657  0.343

calculated volume = 28.225 Å³ per atom
formation energy = -4.556 eV per formula unit
energy above the lowest structure with this stoichiometry = 0 meV/atom
DOS(E_F) = 8.1 states/eV per cell
crystal system = monoclinic
space-group type = No. 12



No. 7
First-principles (GGA-PBE) data for crystalline LaIn2Hg at its relaxed geometry, as listed in Alexandria via LeMat-Bulk.

Unit cell a=10.715 b=10.715 c=10.715 alpha=18.96 beta=18.96 gamma=18.96
Atoms (fractional coordinates):
In  0.001  0.001  0.001
In  0.254  0.254  0.254
La  0.498  0.498  0.498
Hg  0.747  0.747  0.747

calculated volume = 28.378 Å³ per atom
formation energy = -0.617 eV per formula unit
DOS(E_F) = 3.2 states/eV per cell
crystal system = trigonal
space-group type = No. 160



No. 8
First-principles (GGA-PBE) data for crystalline LaIn2Hg2 at its relaxed geometry, as listed in Alexandria via LeMat-Bulk.

Unit cell a=8.670 b=8.670 c=3.586 alpha=90.00 beta=90.00 gamma=90.00
Last column: magnetic moment on the atom in μB.
Atoms (fractional coordinates):
Hg  0.670  0.830  0.500  0.00
Hg  0.830  0.330  0.500  0.00
Hg  0.330  0.170  0.500  0.00
Hg  0.170  0.670  0.500  0.00
La  0.500  0.500  0.000  0.22
La  0.000  0.000  0.000  0.22
In  0.128  0.372  0.000  0.00
In  0.872  0.628  0.000  0.00
In  0.628  0.128  0.000  0.00
In  0.372  0.872  0.000  0.00

calculated volume = 26.954 Å³ per atom
formation energy = -0.944 eV per formula unit
energy above the lowest structure with this stoichiometry = 126 meV/atom
DOS(E_F) = 7.2 states/eV per cell
crystal system = tetragonal
space-group type = No. 127



> Which formula does entry 5 have?

La3In3Hg



> Which value of calculated volume does entry 8 give?

26.954 Å³ per atom



> Look up the calculated volume of the eighth one.

26.954 Å³ per atom



> Which of these has the highest calculated volume?

La6InHg2